Entry 1:
## Ac6Pm5 (GGA-PBE)

Data for a relaxed structure of Ac6Pm5.

The density of states at the Fermi level comes out at 33.51 states/eV/cell. Its formation enthalpy at 0 K is 17 kJ per mole of atoms. As for the total magnetization: 0.000 Bohr magnetons per cell. The theoretical density is 7.505 Mg/m³.

It has space group C2/m (No. 12), with a = 6.6839 Å, b = 11.5458 Å, c = 12.1578 Å, α = 90.00°, β = 100.16° and γ = 90.00°. The distinct sites, in fractional coordinates, are Ac at (0.2467, 0.0000, 0.2569), Ac at (0.2484, 0.3336, 0.2533), Pm at (0.0000, 0.1660, 0.0000), Pm at (0.0000, 0.3311, 0.5000) and Pm at (0.0000, 0.5000, 0.0000).

=====

Entry 2:
## NaAl3S (GGA-PBE)

Data for a relaxed structure of NaAl3S.

For the energy above the most stable polymorph in this dataset, the calculation gives 0 meV per atom. The density of states at the Fermi level comes out at 1.83 states/eV/cell. The uncorrected formation energy comes out at 0.36 eV/atom. As for the total magnetization: 0.000 Bohr magnetons per cell. The theoretical density is 1.886 Mg/m³.

It has space group Pm-3m (No. 221), with a = 4.9293 Å, b = 4.9293 Å, c = 4.9293 Å, α = 90.00°, β = 90.00° and γ = 90.00°. The distinct sites, in fractional coordinates, are Na at (0.0000, 0.0000, 0.0000), Al at (0.0000, 0.5000, 0.5000) and S at (0.5000, 0.5000, 0.5000).

=====

Entry 3:
## Mg2GaFe2Co5 (GGA-PBE)

Data for a relaxed structure of Mg2GaFe2Co5.

The density of states at the Fermi level comes out at 21.51 states/eV/cell. Its formation enthalpy at 0 K is 10 kJ per mole of atoms. As for the total magnetization: 22.926 Bohr magnetons per cell. The theoretical density is 6.602 Mg/m³.

It has space group P4/mbm (No. 127), with a = 8.5286 Å, b = 8.5286 Å, c = 3.6288 Å, α = 90.00°, β = 90.00° and γ = 90.00°. The distinct sites, in fractional coordinates, are Mg at (0.1778, 0.3222, 0.0000), Ga at (0.0000, 0.0000, 0.0000), Fe at (0.1188, 0.6188, 0.0000), Co at (0.0000, 0.5000, 0.5000) and Co at (0.0625, 0.7989, 0.5000).

=====

Entry 4:
## MnNi3W (GGA-PBE)

Data for a relaxed structure of MnNi3W.

For the energy above the most stable polymorph in this dataset, the calculation gives 1152 meV per atom. The density of states at the Fermi level comes out at 8.32 states/eV/cell. Its formation enthalpy at 0 K is 135 kJ per mole of atoms. As for the total magnetization: 1.061 Bohr magnetons per cell. The theoretical density is 9.595 Mg/m³.

It has space group Pm-3m (No. 221), with a = 4.1563 Å, b = 4.1563 Å, c = 4.1563 Å, α = 90.00°, β = 90.00° and γ = 90.00°. The distinct sites, in fractional coordinates, are Mn at (0.0000, 0.0000, 0.0000), Ni at (0.0000, 0.0000, 0.5000) and W at (0.5000, 0.5000, 0.5000).

=====

Entry 5:
## AgPRu2 (GGA-PBE)

Data for a relaxed structure of AgPRu2.

For the energy above the most stable polymorph in this dataset, the calculation gives 337 meV per atom. The density of states at the Fermi level comes out at 22.47 states/eV/cell. Its formation enthalpy at 0 K is 30 kJ per mole of atoms. As for the total magnetization: 0.000 Bohr magnetons per cell. The theoretical density is 10.029 Mg/m³.

It has space group Fm-3m (No. 225), with a = 6.0898 Å, b = 6.0898 Å, c = 6.0898 Å, α = 90.00°, β = 90.00° and γ = 90.00°. The distinct sites, in fractional coordinates, are Ag at (0.0000, 0.0000, 0.0000), P at (0.0000, 0.0000, 0.5000) and Ru at (0.2500, 0.2500, 0.2500).

=====

Entry 6:
## TcMo2W (GGA-PBE)

Data for a relaxed structure of TcMo2W.

For the energy above the most stable polymorph in this dataset, the calculation gives 32 meV per atom. The density of states at the Fermi level comes out at 3.96 states/eV/cell. Its formation enthalpy at 0 K is 5 kJ per mole of atoms. As for the total magnetization: 0.000 Bohr magnetons per cell. The theoretical density is 12.569 Mg/m³.

It has space group P4/mmm (No. 123), with a = 4.4587 Å, b = 4.4587 Å, c = 3.1481 Å, α = 90.00°, β = 90.00° and γ = 90.00°. The distinct sites, in fractional coordinates, are Tc at (0.0000, 0.0000, 0.0000), Mo at (0.0000, 0.5000, 0.5000) and W at (0.5000, 0.5000, 0.0000).

=====

Entry 7:
## Dy5CuRu4 (GGA-PBE)

Data for a relaxed structure of Dy5CuRu4.

The density of states at the Fermi level comes out at 3.94 states/eV/cell. Its formation enthalpy at 0 K is -34 kJ per mole of atoms. As for the total magnetization: 0.000 Bohr magnetons per cell. The theoretical density is 10.637 Mg/m³.

It has space group P4/mmm (No. 123), with a = 3.4107 Å, b = 3.4107 Å, c = 17.1827 Å, α = 90.00°, β = 90.00° and γ = 90.00°. The distinct sites, in fractional coordinates, are Dy at (0.0000, 0.0000, 0.0000), Dy at (0.0000, 0.0000, 0.1959), Dy at (0.0000, 0.0000, 0.3925), Cu at (0.5000, 0.5000, 0.5000), Ru at (0.5000, 0.5000, 0.0990) and Ru at (0.5000, 0.5000, 0.3005).

=====

Entry 8:
## ReAgCl3 (GGA-PBE)

Data for a relaxed structure of ReAgCl3.

For the energy above the most stable polymorph in this dataset, the calculation gives 576 meV per atom. The density of states at the Fermi level comes out at 3.42 states/eV/cell. The uncorrected formation energy comes out at 0.87 eV/atom. As for the total magnetization: 5.714 Bohr magnetons per cell. The theoretical density is 5.098 Mg/m³.

It has space group Pm-3m (No. 221), with a = 5.0713 Å, b = 5.0713 Å, c = 5.0713 Å, α = 90.00°, β = 90.00° and γ = 90.00°. The distinct sites, in fractional coordinates, are Re at (0.0000, 0.0000, 0.0000), Ag at (0.5000, 0.5000, 0.5000) and Cl at (0.0000, 0.5000, 0.5000).